Below is a relaxed Na3Y2ErSe6 crystal, with properties calculated at the PBE level.

## Properties
raw total energy: -62.9 eV/cell

Cell lengths 7.166, 7.166, 7.403 Å; angles 99.28, 99.28, 120.00 degrees
Sites, in units of the cell vectors:
Se: 0.255 0.255 0.771
Y: 0.333 0.667 0.000
Na: 0.833 0.167 0.500
Se: 0.593 0.924 0.771
Y: 0.667 0.333 0.000
Se: 0.076 0.407 0.229
Se: 0.745 0.745 0.229
Se: 0.407 0.076 0.229
Se: 0.924 0.593 0.771
Na: 0.500 0.500 0.500
Er: 0.000 0.000 0.000
Na: 0.167 0.833 0.500